Entry 1:
VASP calculation (PBE) on a relaxed Sm2Zr8O19 crystal.

Cell: 3.6475 3.6998 26.8079 Å, 90.00 90.00 90.00°
Space group Pmm2 (No. 25)
One atom of each set of equivalent atoms:
1 Sm 0.0000 0.0000 0.0000 [1 per cell]
2 Sm 0.5000 0.5000 0.1210 [1 per cell]
3 Zr 0.0000 0.0000 0.2193 [1 per cell]
4 Zr 0.0000 0.0000 0.4159 [1 per cell]
5 Zr 0.0000 0.0000 0.6123 [1 per cell]
6 Zr 0.0000 0.0000 0.8073 [1 per cell]
7 Zr 0.5000 0.5000 0.3180 [1 per cell]
8 Zr 0.5000 0.5000 0.5146 [1 per cell]
9 Zr 0.5000 0.5000 0.7105 [1 per cell]
10 Zr 0.5000 0.5000 0.9038 [1 per cell]
11 O 0.0000 0.5000 0.0619 [1 per cell]
12 O 0.0000 0.5000 0.1806 [1 per cell]
13 O 0.0000 0.5000 0.2792 [1 per cell]
14 O 0.0000 0.5000 0.3780 [1 per cell]
15 O 0.0000 0.5000 0.4762 [1 per cell]
16 O 0.0000 0.5000 0.5743 [1 per cell]
17 O 0.0000 0.5000 0.6710 [1 per cell]
18 O 0.0000 0.5000 0.7667 [1 per cell]
19 O 0.0000 0.5000 0.8599 [1 per cell]
20 O 0.0000 0.5000 0.9524 [1 per cell]
21 O 0.5000 0.0000 0.1617 [1 per cell]
22 O 0.5000 0.0000 0.2588 [1 per cell]
23 O 0.5000 0.0000 0.3566 [1 per cell]
24 O 0.5000 0.0000 0.4552 [1 per cell]
25 O 0.5000 0.0000 0.5537 [1 per cell]
26 O 0.5000 0.0000 0.6527 [1 per cell]
27 O 0.5000 0.0000 0.7517 [1 per cell]
28 O 0.5000 0.0000 0.8517 [1 per cell]
29 O 0.5000 0.0000 0.9512 [1 per cell]

Properties
The value obtained for the mass density is 6.125 g/cm3. The calculation puts the raw formation energy at -3.2758 eV per atom.

=====

Entry 2:
VASP calculation (PBE) on a relaxed Sm2Zr2O7 crystal.

Cell: 10.7190 10.7190 10.7190 Å, 90.00 90.00 90.00°
Space group Fd-3m (No. 227, origin choice 2)
One atom of each set of equivalent atoms:
1 Sm 0.0000 0.0000 0.0000 [16 per cell]
2 Zr 0.0000 0.0000 0.5000 [16 per cell]
3 O 0.0875 0.3750 0.8750 [48 per cell]
4 O 0.1250 0.1250 0.1250 [8 per cell]

Properties
The value obtained for the mass density is 6.420 g/cm3. The calculation puts the raw formation energy at -3.4113 eV per atom.